[1]
VASP calculation (GGA-PBE) on an optimized crystal structure of TcGeC.

abc: 9.9531 2.6454 6.5003
angles: 90.00 103.43 90.00
Space group C2/m (No. 12)
Asymmetric unit:
Tc: 0.1964 0.0000 0.1537 x4
Ge: 0.0440 0.5000 0.8141 x4
C: 0.2478 0.5000 0.4592 x4

Computed properties:
Energy relative to the elements: 0.619 eV/atom
Crystal system: monoclinic
VASP energy: -7.450 eV per atom
M_tot: 0.000 μB per atom
Density: 7.3 g/cm³



[2]
VASP calculation (GGA-PBE) on an optimized crystal structure of Tc4GeC.

abc: 5.4451 5.0908 6.2423
angles: 90.00 104.74 90.00
Space group P2_1/c (No. 14)
Asymmetric unit:
Tc: 0.0681 0.1296 0.1857 x4
Tc: 0.3602 0.5893 0.1143 x4
Ge: 0.5000 0.0000 0.0000 x2
C: 0.0000 0.0000 0.5000 x2

Computed properties:
Energy relative to the elements: 0.243 eV/atom
Crystal system: monoclinic
VASP energy: -8.975 eV per atom
M_tot: 0.000 μB per atom
Density: 9.5 g/cm³



[3]
VASP calculation (GGA-PBE) on an optimized crystal structure of Tc7Ge2C2.

abc: 5.9903 8.6030 5.9811
angles: 90.00 90.00 90.00
Space group Cmmm (No. 65)
Asymmetric unit:
Tc: 0.0000 0.0000 0.0000 x2
Tc: 0.0000 0.5000 0.1899 x4
Tc: 0.2500 0.2500 0.2410 x8
Ge: 0.2056 0.0000 0.5000 x4
C: 0.0000 0.2578 0.0000 x4

Computed properties:
Energy relative to the elements: 0.346 eV/atom
Crystal system: orthorhombic
VASP energy: -8.767 eV per atom
M_tot: 0.000 μB per atom
Density: 9.2 g/cm³



[4]
VASP calculation (GGA-PBE) on an optimized crystal structure of Tc6GeC.

abc: 4.8975 5.3403 5.3741
angles: 60.85 73.17 86.85
Space group P-1 (No. 2)
Asymmetric unit:
Tc: 0.0325 0.2456 0.2761 x2
Tc: 0.1817 0.2119 0.7766 x2
Tc: 0.3983 0.6820 0.0863 x2
Ge: 0.5000 0.0000 0.5000 x1
C: 0.0000 0.5000 0.5000 x1

Computed properties:
Energy relative to the elements: 0.280 eV/atom
Crystal system: triclinic
VASP energy: -9.225 eV per atom
M_tot: 0.000 μB per atom
Density: 9.6 g/cm³



[5]
VASP calculation (GGA-PBE) on an optimized crystal structure of Tc3Ge2C.

abc: 12.8642 4.3934 6.0419
angles: 90.00 103.58 90.00
Space group C2/c (No. 15)
Asymmetric unit:
Tc: 0.0000 0.0027 0.2500 x4
Tc: 0.1097 0.4988 0.0549 x8
Ge: 0.2086 0.0009 0.6044 x8
C: 0.0000 0.4870 0.7500 x4

Computed properties:
Energy relative to the elements: 0.048 eV/atom
Crystal system: monoclinic
VASP energy: -8.212 eV per atom
M_tot: 0.000 μB per atom
Density: 9.0 g/cm³



[6]
VASP calculation (GGA-PBE) on an optimized crystal structure of Tc3GeC.

abc: 4.0774 4.0774 4.0774
angles: 90.00 90.00 90.00
Space group Pm-3m (No. 221)
Asymmetric unit:
Tc: 0.0000 0.0000 0.5000 x3
Ge: 0.5000 0.5000 0.5000 x1
C: 0.0000 0.0000 0.0000 x1

Computed properties:
Energy relative to the elements: 0.193 eV/atom
Crystal system: cubic
VASP energy: -8.795 eV per atom
M_tot: 0.376 μB per atom
Density: 9.3 g/cm³